A plane-wave DFT calculation with GGA+U was carried out for a relaxed GeMoP2O crystal.

Summary:
The magnetic moment comes out at 2.5 μB/f.u. For the polymorph energy (0 for the lowest one), the calculation gives 1.272 eV/atom. The final energy comes out at -20.5 eV for the cell shown.

```
5
Lattice="4.5581 0.0000 0.0000 0.0000 4.5581 0.0000 0.0000 0.0000 5.3464" Properties=species:S:1:pos:R:3 pbc="T T T"
Ge 0.0000 0.0000 0.0000
Mo 0.0000 0.0000 2.6732
P 0.0000 2.2790 0.0000
P 2.2790 0.0000 0.0000
O 2.2790 2.2790 2.6732
```